No. 1
DFT (GGA-PBEsol) results for KCaCo2 after structural relaxation.

```
data_KCaCo2
_cell_length_a 2.9263
_cell_length_b 2.9263
_cell_length_c 9.2559
_cell_angle_alpha 90.00
_cell_angle_beta 90.00
_cell_angle_gamma 90.14
_symmetry_space_group_name_H-M 'P 1'
_symmetry_Int_Tables_number 1
loop_
_symmetry_equiv_pos_as_xyz
'x,y,z'
loop_
_atom_site_label
_atom_site_type_symbol
_atom_site_fract_x
_atom_site_fract_y
_atom_site_fract_z
Co1 Co 0.0000 0.0000 0.2227
Ca1 Ca 0.5000 0.5000 0.0000
K1 K 0.5000 0.5000 0.5000
Co2 Co 0.0000 0.0000 0.7773
```

Properties
- Formation enthalpy at 0 K: 1.035 eV per atom
- E above lowest polymorph: 0.000 eV/atom

No. 2
DFT (GGA-PBEsol) results for MnBeSe after structural relaxation.

```
data_MnBeSe
_cell_length_a 3.0434
_cell_length_b 3.0434
_cell_length_c 4.2084
_cell_angle_alpha 111.20
_cell_angle_beta 111.20
_cell_angle_gamma 90.00
_symmetry_space_group_name_H-M 'P 1'
_symmetry_Int_Tables_number 1
loop_
_symmetry_equiv_pos_as_xyz
'x,y,z'
loop_
_atom_site_label
_atom_site_type_symbol
_atom_site_fract_x
_atom_site_fract_y
_atom_site_fract_z
Mn1 Mn 0.6661 0.6661 0.3322
Se1 Se 0.3294 0.3294 0.6587
Be1 Be 0.0046 0.0046 0.0091
```

Properties
- Formation energy (no corrections): 34 meV/atom

No. 3
DFT (GGA-PBEsol) results for As2Pd5 after structural relaxation.

```
data_As2Pd5
_cell_length_a 7.2966
_cell_length_b 7.2966
_cell_length_c 13.6141
_cell_angle_alpha 90.00
_cell_angle_beta 90.00
_cell_angle_gamma 120.00
_symmetry_space_group_name_H-M 'P 1'
_symmetry_Int_Tables_number 1
loop_
_symmetry_equiv_pos_as_xyz
'x,y,z'
loop_
_atom_site_label
_atom_site_type_symbol
_atom_site_fract_x
_atom_site_fract_y
_atom_site_fract_z
Pd1 Pd 0.0000 0.6041 0.5251
Pd2 Pd 0.7036 0.7036 0.4110
As1 As 0.0000 0.3274 0.2176
Pd3 Pd 0.0000 0.6149 0.3072
Pd4 Pd 0.3851 0.3851 0.3072
As2 As 0.6726 0.6726 0.2176
As3 As 0.0000 0.0000 0.9881
As4 As 0.6726 0.0000 0.7176
Pd5 Pd 0.3333 0.6667 0.1604
Pd6 Pd 0.6149 0.0000 0.3072
As5 As 0.3333 0.6667 0.9441
Pd7 Pd 0.3959 0.0000 0.0251
Pd8 Pd 0.6149 0.6149 0.8072
Pd9 Pd 0.7571 0.0000 0.1178
Pd10 Pd 0.0000 0.2964 0.4110
As6 As 0.6667 0.3333 0.4441
Pd11 Pd 0.2964 0.2964 0.9110
Pd12 Pd 0.0000 0.2429 0.6178
As7 As 0.3274 0.0000 0.2176
As8 As 0.0000 0.6726 0.7176
Pd13 Pd 0.7036 0.0000 0.9110
Pd14 Pd 0.0000 0.3959 0.0251
As9 As 0.3333 0.6667 0.4441
Pd15 Pd 0.0000 0.7036 0.9110
As10 As 0.0000 0.0000 0.4881
Pd16 Pd 0.3333 0.6667 0.6604
Pd17 Pd 0.6041 0.6041 0.0251
Pd18 Pd 0.6667 0.3333 0.6604
Pd19 Pd 0.6667 0.3333 0.1604
Pd20 Pd 0.0000 0.0000 0.2835
Pd21 Pd 0.0000 0.3851 0.8072
Pd22 Pd 0.3851 0.0000 0.8072
Pd23 Pd 0.2429 0.0000 0.6178
As11 As 0.6667 0.3333 0.9441
Pd24 Pd 0.3959 0.3959 0.5251
Pd25 Pd 0.0000 0.0000 0.7835
Pd26 Pd 0.7571 0.7571 0.6178
Pd27 Pd 0.2429 0.2429 0.1178
Pd28 Pd 0.2964 0.0000 0.4110
As12 As 0.3274 0.3274 0.7176
Pd29 Pd 0.6041 0.0000 0.5251
Pd30 Pd 0.0000 0.7571 0.1178
```

Properties
- Formation enthalpy at 0 K: -0.379 eV per atom

No. 4
DFT (GGA-PBEsol) results for TaRhAu2 after structural relaxation.

```
data_TaRhAu2
_cell_length_a 2.8912
_cell_length_b 2.8912
_cell_length_c 7.6769
_cell_angle_alpha 90.00
_cell_angle_beta 90.00
_cell_angle_gamma 90.00
_symmetry_space_group_name_H-M 'P 1'
_symmetry_Int_Tables_number 1
loop_
_symmetry_equiv_pos_as_xyz
'x,y,z'
loop_
_atom_site_label
_atom_site_type_symbol
_atom_site_fract_x
_atom_site_fract_y
_atom_site_fract_z
Rh1 Rh 0.5000 0.5000 0.0000
Au1 Au 0.0000 0.0000 0.2457
Au2 Au 0.0000 0.0000 0.7543
Ta1 Ta 0.5000 0.5000 0.5000
```

Properties
- Formation enthalpy at 0 K: 0.015 eV per atom
- E above lowest polymorph: 0.259 eV/atom